1.
Compound: PmLuHg
Source: the Open Quantum Materials Database
Functional: PBE
Structure: optimized geometry

Cell lengths 7.2237, 7.2237, 7.2237 Å; angles 90.00, 90.00, 90.00 degrees
Closest atoms and distances in Å follow each position.
Space group F-43m (No. 216)
Asymmetric unit:
1 Pm 0.0000 0.0000 0.0000 x4  4 Hg 3.13
2 Lu 0.0000 0.0000 0.5000 x4  4 Hg 3.13
3 Hg 0.2500 0.2500 0.7500 x4  4 Pm 3.13, 4 Lu 3.13

Output
Theoretical density (g/cm3): 9.2
Total magnetization (μB per formula unit): 0.0
ΔH_f (0 K) (eV/atom): -0.107



2.
Compound: LuHgPt
Source: the Open Quantum Materials Database
Functional: PBE
Structure: optimized geometry

Cell lengths 6.5759, 6.5759, 6.5759 Å; angles 90.00, 90.00, 90.00 degrees
Closest atoms and distances in Å follow each position.
Space group F-43m (No. 216)
Asymmetric unit:
1 Lu 0.0000 0.0000 0.0000 x4  4 Pt 2.85
2 Hg 0.0000 0.0000 0.5000 x4  4 Pt 2.85
3 Pt 0.2500 0.2500 0.7500 x4  4 Hg 2.85, 4 Lu 2.85

Output
Theoretical density (g/cm3): 13.3
Total magnetization (μB per formula unit): 0.0
ΔH_f (0 K) (eV/atom): -0.759



3.
Compound: Lu2HgPt
Source: the Open Quantum Materials Database
Functional: PBE
Structure: optimized geometry

Cell lengths 6.8623, 6.8623, 6.8623 Å; angles 90.00, 90.00, 90.00 degrees
Closest atoms and distances in Å follow each position.
Space group F-43m (No. 216)
Asymmetric unit:
1 Lu 0.0000 0.0000 0.0000 x4  4 Lu 2.97, 4 Hg 2.97
2 Lu 0.2500 0.2500 0.2500 x4  4 Pt 2.97, 4 Lu 2.97
3 Hg 0.2500 0.2500 0.7500 x4  4 Pt 2.97, 4 Lu 2.97
4 Pt 0.0000 0.0000 0.5000 x4  4 Hg 2.97, 4 Lu 2.97

Output
Theoretical density (g/cm3): 15.3
Total magnetization (μB per formula unit): 0.0
ΔH_f (0 K) (eV/atom): -0.541